Entry 1:
YMgCu2 (PBE, optimized geometry); energy relative to the elements = 3 kJ/mol of atoms; space group = P4/nmm, No. 129
1.0
3.7882 0.0000 0.0000
0.0000 3.7882 0.0000
0.0000 0.0000 11.0147
Y Mg Cu
2 2 4
direct
0.2500 0.2500 0.1795 Y
0.7500 0.7500 0.8205 Y
0.2500 0.2500 0.6626 Mg
0.7500 0.7500 0.3374 Mg
0.2500 0.2500 0.9247 Cu
0.2500 0.7500 0.5000 Cu
0.7500 0.2500 0.5000 Cu
0.7500 0.7500 0.0753 Cu

***

Entry 2:
CsTl2CrCl6 (PBE, optimized geometry); VASP energy = -0.143 Ha/atom; space group = P2_1/c, No. 14
1.0
7.1912 0.0000 0.0000
0.0000 8.4363 0.0000
-6.8063 0.0000 10.7171
Cs Tl Cr Cl
2 4 2 12
direct
0.0000 0.0000 0.0000 Cs
0.0000 0.5000 0.5000 Cs
0.2096 0.0408 0.7261 Tl
0.2096 0.4592 0.2261 Tl
0.7904 0.5408 0.7739 Tl
0.7904 0.9592 0.2739 Tl
0.5000 0.0000 0.5000 Cr
0.5000 0.5000 0.0000 Cr
0.2048 0.1468 0.4841 Cl
0.2048 0.3532 0.9841 Cl
0.2575 0.7187 0.8984 Cl
0.2575 0.7813 0.3984 Cl
0.4141 0.1016 0.3044 Cl
0.4141 0.3984 0.8044 Cl
0.5859 0.6016 0.1956 Cl
0.5859 0.8984 0.6956 Cl
0.7425 0.2187 0.6016 Cl
0.7425 0.2813 0.1016 Cl
0.7952 0.6468 0.0159 Cl
0.7952 0.8532 0.5159 Cl

***

Entry 3:
AcDy2Tm (PBE, optimized geometry); energy relative to the elements = 11 kJ/mol of atoms; ΔE to the lowest computed polymorph = 5.6 kJ/mol of atoms; space group = P4/mmm, No. 123
1.0
4.0409 0.0000 0.0000
0.0000 4.0409 0.0000
0.0000 0.0000 8.5392
Ac Dy Tm
1 2 1
direct
0.0000 0.0000 0.0000 Ac
0.5000 0.5000 0.2825 Dy
0.5000 0.5000 0.7175 Dy
0.0000 0.0000 0.5000 Tm

***

Entry 4:
LaCdSi (PBE, optimized geometry); VASP energy = -0.143 Ha/atom; space group = Fmm2, No. 42
1.0
0.0000 2.5714 5.8339
2.4526 0.0000 5.8339
2.4526 2.5714 0.0000
La Cd Si
1 1 1
direct
0.0000 0.0000 0.0000 La
0.7011 0.7011 0.2989 Cd
0.3267 0.3267 0.6733 Si

***

Entry 5:
NaTlCd2Au (PBE, optimized geometry); energy relative to the elements = -2 kJ/mol of atoms; space group = P4/mmm, No. 123
1.0
5.3259 0.0000 0.0000
0.0000 5.3259 0.0000
0.0000 0.0000 5.4576
Na Tl Cd Au
1 1 2 1
direct
0.0000 0.0000 0.0000 Na
0.5000 0.5000 0.0000 Tl
0.0000 0.5000 0.5000 Cd
0.5000 0.0000 0.5000 Cd
0.0000 0.0000 0.5000 Au

***

Entry 6:
VBiAu2 (PBE, optimized geometry); energy relative to the elements = 62 kJ/mol of atoms; space group = R-3m, No. 166
1.0
1.5296 0.8831 10.7346
-1.5296 0.8831 10.7346
0.0000 -1.7662 10.7346
V Bi Au
1 1 2
direct
0.0000 0.0000 0.0000 V
0.5000 0.5000 0.5000 Bi
0.0806 0.0806 0.0806 Au
0.9194 0.9194 0.9194 Au

***

Entry 7:
ZnSnSb2I (PBE, optimized geometry); ΔE to the lowest computed polymorph = 0.0 kJ/mol of atoms; space group = P4/mmm, No. 123
1.0
5.2298 0.0000 0.0000
0.0000 5.2298 0.0000
0.0000 0.0000 5.7127
Zn Sn Sb I
1 1 2 1
direct
0.0000 0.0000 0.0000 Zn
0.5000 0.5000 0.5000 Sn
0.0000 0.5000 0.0000 Sb
0.5000 0.0000 0.0000 Sb
0.0000 0.0000 0.5000 I

***

Entry 8:
Mg2FeTc (PBE, optimized geometry); energy relative to the elements = 83 kJ/mol of atoms; ΔE to the lowest computed polymorph = 73.4 kJ/mol of atoms; space group = I-42d, No. 122
1.0
-3.5266 3.5266 2.5521
3.5266 -3.5266 2.5521
3.5266 3.5266 -2.5521
Mg Fe Tc
4 2 2
direct
0.1033 0.1250 0.4783 Mg
0.3750 0.8967 0.0217 Mg
0.6467 0.6250 0.5217 Mg
0.8750 0.3533 0.9783 Mg
0.0000 0.0000 0.0000 Fe
0.7500 0.2500 0.5000 Fe
0.2500 0.7500 0.5000 Tc
0.5000 0.5000 0.0000 Tc

***

Entry 9:
Nb2TlNiW (PBE, optimized geometry); energy relative to the elements = 267 kJ/mol of atoms; space group = P4/mmm, No. 123
1.0
5.0556 0.0000 0.0000
0.0000 5.0556 0.0000
0.0000 0.0000 4.9692
Nb Tl Ni W
2 1 1 1
direct
0.0000 0.5000 0.0000 Nb
0.5000 0.0000 0.0000 Nb
0.0000 0.0000 0.0000 Tl
0.5000 0.5000 0.5000 Ni
0.0000 0.0000 0.5000 W

***

Entry 10:
BeNbAg (PBE, optimized geometry); energy relative to the elements = 21 kJ/mol of atoms; ΔE to the lowest computed polymorph = 22.5 kJ/mol of atoms; space group = Cm, No. 8
1.0
4.1411 -1.9119 0.0000
4.1411 1.9119 0.0000
-0.9253 0.0000 5.8003
Be Nb Ag
2 2 2
direct
0.0000 0.0000 0.0000 Be
0.6641 0.6641 0.3051 Be
0.3388 0.3388 0.1676 Nb
0.9961 0.9961 0.4523 Nb
0.3197 0.3197 0.6705 Ag
0.6417 0.6417 0.8629 Ag

***

Entry 11:
Sn2SI (PBE, optimized geometry); ΔE to the lowest computed polymorph = 0.0 kJ/mol of atoms; space group = R-3m, No. 166
1.0
1.9823 1.1445 8.6510
-1.9823 1.1445 8.6510
0.0000 -2.2889 8.6510
Sn S I
2 1 1
direct
0.2365 0.2365 0.2365 Sn
0.7635 0.7635 0.7635 Sn
0.5000 0.5000 0.5000 S
0.0000 0.0000 0.0000 I

***

Entry 12:
CaPm2Hg2 (PBE, optimized geometry); energy relative to the elements = -39 kJ/mol of atoms; space group = P4/mbm, No. 127
1.0
8.7375 0.0000 0.0000
0.0000 8.7375 0.0000
0.0000 0.0000 3.9221
Ca Pm Hg
2 4 4
direct
0.0000 0.0000 0.0000 Ca
0.5000 0.5000 0.0000 Ca
0.1625 0.3375 0.5000 Pm
0.3375 0.8375 0.5000 Pm
0.6625 0.1625 0.5000 Pm
0.8375 0.6625 0.5000 Pm
0.1344 0.6344 0.0000 Hg
0.3656 0.1344 0.0000 Hg
0.6344 0.8656 0.0000 Hg
0.8656 0.3656 0.0000 Hg

***

Entry 13:
Tb3NpO7 (PBE, optimized geometry); VASP energy = -0.330 Ha/atom; space group = Cmcm, No. 63
1.0
3.7955 -5.4027 0.0000
3.7955 5.4027 0.0000
0.0000 0.0000 7.7197
Tb Np O
6 2 14
direct
0.0000 0.0000 0.0000 Tb
0.0000 0.0000 0.5000 Tb
0.0325 0.5042 0.7500 Tb
0.4958 0.9675 0.7500 Tb
0.5042 0.0325 0.2500 Tb
0.9675 0.4958 0.2500 Tb
0.5000 0.5000 0.0000 Np
0.5000 0.5000 0.5000 Np
0.1329 0.8671 0.2500 O
0.1336 0.8664 0.7500 O
0.1652 0.4149 0.0298 O
0.1652 0.4149 0.4702 O
0.4062 0.5938 0.7500 O
0.4149 0.1652 0.5298 O
0.4149 0.1652 0.9702 O
0.5851 0.8348 0.0298 O
0.5851 0.8348 0.4702 O
0.5938 0.4062 0.2500 O
0.8348 0.5851 0.5298 O
0.8348 0.5851 0.9702 O
0.8664 0.1336 0.2500 O
0.8671 0.1329 0.7500 O

***

Entry 14:
SiP2OsO (PBE, optimized geometry); ΔE to the lowest computed polymorph = 0.0 kJ/mol of atoms; space group = P4/mmm, No. 123
1.0
4.6573 0.0000 0.0000
0.0000 4.6573 0.0000
0.0000 0.0000 3.1643
Si P Os O
1 2 1 1
direct
0.0000 0.0000 0.0000 Si
0.0000 0.5000 0.0000 P
0.5000 0.0000 0.0000 P
0.5000 0.5000 0.5000 Os
0.0000 0.0000 0.5000 O

***

Entry 15:
Sr2PtBr (PBE, optimized geometry); ΔE to the lowest computed polymorph = 12.6 kJ/mol of atoms; space group = Imm2, No. 44
1.0
-1.9927 2.0297 8.1146
1.9927 -2.0297 8.1146
1.9927 2.0297 -8.1146
Sr Pt Br
2 1 1
direct
0.0000 0.0000 0.0000 Sr
0.7133 0.2133 0.5000 Sr
0.5769 0.5769 0.0000 Pt
0.3236 0.8236 0.5000 Br

***

Entry 16:
Ta3AsPd (PBE, optimized geometry); energy relative to the elements = 87 kJ/mol of atoms; ΔE to the lowest computed polymorph = 0.0 kJ/mol of atoms; space group = Pm-3m, No. 221
1.0
4.6941 0.0000 0.0000
0.0000 4.6941 0.0000
0.0000 0.0000 4.6941
Ta As Pd
3 1 1
direct
0.0000 0.0000 0.5000 Ta
0.0000 0.5000 0.0000 Ta
0.5000 0.0000 0.0000 Ta
0.0000 0.0000 0.0000 As
0.5000 0.5000 0.5000 Pd

***

Entry 17:
SrH6Pd2Pb (PBE, optimized geometry); VASP energy = -0.139 Ha/atom; space group = C2/c, No. 15
1.0
4.2174 -6.1529 0.0000
4.2174 6.1529 0.0000
-0.6263 0.0000 4.7313
Sr H Pd Pb
2 12 4 2
direct
0.1683 0.8317 0.7500 Sr
0.8317 0.1683 0.2500 Sr
0.0422 0.6692 0.1884 H
0.1438 0.1535 0.9924 H
0.1535 0.1438 0.4924 H
0.1621 0.4939 0.5596 H
0.3308 0.9578 0.3116 H
0.4939 0.1621 0.0596 H
0.5061 0.8379 0.9404 H
0.6692 0.0422 0.6884 H
0.8379 0.5061 0.4404 H
0.8465 0.8562 0.5076 H
0.8562 0.8465 0.0076 H
0.9578 0.3308 0.8116 H
0.1767 0.3318 0.7688 Pd
0.3318 0.1767 0.2688 Pd
0.6682 0.8233 0.7312 Pd
0.8233 0.6682 0.2312 Pd
0.3931 0.6069 0.2500 Pb
0.6069 0.3931 0.7500 Pb

***

Entry 18:
CoTeOsI2 (PBE, optimized geometry); ΔE to the lowest computed polymorph = 0.0 kJ/mol of atoms; space group = P4/mmm, No. 123
1.0
5.5963 0.0000 0.0000
0.0000 5.5963 0.0000
0.0000 0.0000 4.9926
Co Te Os I
1 1 1 2
direct
0.0000 0.0000 0.0000 Co
0.5000 0.5000 0.0000 Te
0.5000 0.5000 0.5000 Os
0.0000 0.5000 0.5000 I
0.5000 0.0000 0.5000 I

***

Entry 19:
InSb4Os (PBE, optimized geometry); VASP energy = -0.147 Ha/atom; space group = F-43m, No. 216
1.0
0.0000 4.3387 4.3387
4.3387 0.0000 4.3387
4.3387 4.3387 0.0000
In Sb Os
1 4 1
direct
0.0000 0.0000 0.0000 In
0.3755 0.3755 0.3755 Sb
0.3755 0.3755 0.8735 Sb
0.3755 0.8735 0.3755 Sb
0.8735 0.3755 0.3755 Sb
0.7500 0.7500 0.7500 Os

***

Entry 20:
Nd3ZnRu (PBE, optimized geometry); energy relative to the elements = -18 kJ/mol of atoms; ΔE to the lowest computed polymorph = 5.2 kJ/mol of atoms; space group = P2_1/c, No. 14
1.0
8.0739 0.0000 0.0000
0.0000 5.9835 0.0000
-0.2432 0.0000 11.4537
Nd Zn Ru
12 4 4
direct
0.0293 0.1202 0.3512 Nd
0.0293 0.3798 0.8512 Nd
0.2579 0.5814 0.4252 Nd
0.2579 0.9186 0.9252 Nd
0.3864 0.1117 0.6273 Nd
0.3864 0.3883 0.1273 Nd
0.6136 0.6117 0.8727 Nd
0.6136 0.8883 0.3727 Nd
0.7421 0.0814 0.0748 Nd
0.7421 0.4186 0.5748 Nd
0.9707 0.6202 0.1488 Nd
0.9707 0.8798 0.6488 Nd
0.3166 0.6113 0.6955 Zn
0.3166 0.8887 0.1955 Zn
0.6834 0.1113 0.8045 Zn
0.6834 0.3887 0.3045 Zn
0.0873 0.1511 0.0968 Ru
0.0873 0.3489 0.5968 Ru
0.9127 0.6511 0.4032 Ru
0.9127 0.8489 0.9032 Ru

***

Entry 21:
CuSn2Ir (PBE, optimized geometry); energy relative to the elements = 10 kJ/mol of atoms; ΔE to the lowest computed polymorph = 0.0 kJ/mol of atoms; space group = Fm-3m, No. 225
1.0
0.0000 3.3086 3.3086
3.3086 0.0000 3.3086
3.3086 3.3086 0.0000
Cu Sn Ir
1 2 1
direct
0.0000 0.0000 0.0000 Cu
0.2500 0.2500 0.2500 Sn
0.7500 0.7500 0.7500 Sn
0.5000 0.5000 0.5000 Ir

***

Entry 22:
ScSi2H8 (PBE, optimized geometry); VASP energy = -0.141 Ha/atom; space group = C2/m, No. 12
1.0
4.1337 -3.5402 0.0000
4.1337 3.5402 0.0000
-0.0664 0.0000 3.8645
Sc Si H
1 2 8
direct
0.0000 0.0000 0.0000 Sc
0.2268 0.2268 0.5803 Si
0.7732 0.7732 0.4197 Si
0.0433 0.6542 0.2718 H
0.2308 0.2308 0.1740 H
0.3458 0.9567 0.7282 H
0.4039 0.4039 0.6604 H
0.5961 0.5961 0.3396 H
0.6542 0.0433 0.2718 H
0.7692 0.7692 0.8260 H
0.9567 0.3458 0.7282 H